{"formula": "BeFe2NiAg", "functional": "PBE", "state": "relaxed", "cell": [[3.993, 0.000, 0.000], [0.000, 3.993, 0.000], [0.000, 0.000, 4.212]], "species": ["Be", "Fe", "Fe", "Ni", "Ag"], "frac_coords": [[0.000, 0.000, 0.000], [0.000, 0.500, 0.000], [0.500, 0.000, 0.000], [0.500, 0.500, 0.500], [0.000, 0.000, 0.500]], "vol_a3_per_cell": 67.16, "magmom_total_mub_per_fu": 5.4, "formation_enthalpy_0k_mev_per_atom": 728.3}